[1]
# PaBr4 GGA-PBE optimized geometry
# * raw formation energy: -1.41 eV/atom
# * spin magnetization: 1.000 μB per formula unit
data_PaBr4
_space_group_name_H-M_alt 'P 1'
_space_group_IT_number 1
_space_group_name_Hall 'P 1'
_cell_length_a 7.5337
_cell_length_b 7.5337
_cell_length_c 7.5337
_cell_angle_alpha 107.48
_cell_angle_beta 107.48
_cell_angle_gamma 113.52
loop_
_atom_site_label
_atom_site_type_symbol
_atom_site_fract_x
_atom_site_fract_y
_atom_site_fract_z
Pa1 Pa 0.3750 0.6250 0.7500
Pa2 Pa 0.6250 0.3750 0.2500
Br1 Br 0.1317 0.6941 0.4375
Br2 Br 0.2434 0.3059 0.9375
Br3 Br 0.3059 0.2434 0.4375
Br4 Br 0.3059 0.8683 0.0625
Br5 Br 0.6941 0.1317 0.9375
Br6 Br 0.6941 0.7566 0.5625
Br7 Br 0.7566 0.6941 0.0625
Br8 Br 0.8683 0.3059 0.5625


[2]
# Pa4Br GGA-PBE optimized geometry
# * raw formation energy: 0.66 eV/atom
# * spin magnetization: 0.000 μB per formula unit
data_Pa4Br
_space_group_name_H-M_alt 'P 1'
_space_group_IT_number 1
_space_group_name_Hall 'P 1'
_cell_length_a 5.2907
_cell_length_b 5.2907
_cell_length_c 5.2907
_cell_angle_alpha 90.00
_cell_angle_beta 90.00
_cell_angle_gamma 90.00
loop_
_atom_site_label
_atom_site_type_symbol
_atom_site_fract_x
_atom_site_fract_y
_atom_site_fract_z
Pa1 Pa 0.0000 0.0000 0.0000
Pa2 Pa 0.0000 0.5000 0.5000
Pa3 Pa 0.5000 0.0000 0.5000
Pa4 Pa 0.5000 0.5000 0.0000
Br1 Br 0.5000 0.5000 0.5000


[3]
# Pa3Br GGA-PBE optimized geometry
# * raw formation energy: 0.11 eV/atom
# * spin magnetization: 0.000 μB per formula unit
data_Pa3Br
_space_group_name_H-M_alt 'P 1'
_space_group_IT_number 1
_space_group_name_Hall 'P 1'
_cell_length_a 4.5296
_cell_length_b 4.5296
_cell_length_c 9.0109
_cell_angle_alpha 90.00
_cell_angle_beta 90.00
_cell_angle_gamma 90.00
loop_
_atom_site_label
_atom_site_type_symbol
_atom_site_fract_x
_atom_site_fract_y
_atom_site_fract_z
Pa1 Pa 0.0000 0.0000 0.0000
Pa2 Pa 0.0000 0.5000 0.2500
Pa3 Pa 0.0000 0.5000 0.7500
Pa4 Pa 0.5000 0.0000 0.2500
Pa5 Pa 0.5000 0.0000 0.7500
Pa6 Pa 0.5000 0.5000 0.5000
Br1 Br 0.0000 0.0000 0.5000
Br2 Br 0.5000 0.5000 0.0000


[4]
# PaBr3 GGA-PBE optimized geometry
# * raw formation energy: -1.31 eV/atom
# * spin magnetization: 1.937 μB per formula unit
data_PaBr3
_space_group_name_H-M_alt 'P 1'
_space_group_IT_number 1
_space_group_name_Hall 'P 1'
_cell_length_a 3.7360
_cell_length_b 11.5654
_cell_length_c 7.2793
_cell_angle_alpha 90.00
_cell_angle_beta 90.00
_cell_angle_gamma 90.00
loop_
_atom_site_label
_atom_site_type_symbol
_atom_site_fract_x
_atom_site_fract_y
_atom_site_fract_z
Pa1 Pa 0.0000 0.0000 0.0000
Pa2 Pa 0.5000 0.5000 0.5000
Br1 Br 0.0000 0.3336 0.6563
Br2 Br 0.0000 0.5000 0.1940
Br3 Br 0.0000 0.6664 0.6563
Br4 Br 0.5000 0.0000 0.6940
Br5 Br 0.5000 0.1664 0.1563
Br6 Br 0.5000 0.8336 0.1563


[5]
# PaBr2 GGA-PBE optimized geometry
# * raw formation energy: -1.01 eV/atom
# * spin magnetization: 1.959 μB per formula unit
data_PaBr2
_space_group_name_H-M_alt 'P 1'
_space_group_IT_number 1
_space_group_name_Hall 'P 1'
_cell_length_a 7.9112
_cell_length_b 7.9112
_cell_length_c 7.9112
_cell_angle_alpha 60.00
_cell_angle_beta 60.00
_cell_angle_gamma 60.00
loop_
_atom_site_label
_atom_site_type_symbol
_atom_site_fract_x
_atom_site_fract_y
_atom_site_fract_z
Pa1 Pa 0.0000 0.0000 0.0000
Pa2 Pa 0.0000 0.0000 0.5000
Pa3 Pa 0.0000 0.5000 0.0000
Pa4 Pa 0.5000 0.0000 0.0000
Br1 Br 0.2626 0.2626 0.2626
Br2 Br 0.2626 0.2626 0.7122
Br3 Br 0.2626 0.7122 0.2626
Br4 Br 0.2878 0.7374 0.7374
Br5 Br 0.7122 0.2626 0.2626
Br6 Br 0.7374 0.2878 0.7374
Br7 Br 0.7374 0.7374 0.2878
Br8 Br 0.7374 0.7374 0.7374


[6]
# PaBr3 GGA-PBE optimized geometry
# * raw formation energy: -1.32 eV/atom
# * spin magnetization: 1.709 μB per formula unit
data_PaBr3
_space_group_name_H-M_alt 'P 1'
_space_group_IT_number 1
_space_group_name_Hall 'P 1'
_cell_length_a 7.5742
_cell_length_b 7.5742
_cell_length_c 6.9476
_cell_angle_alpha 90.00
_cell_angle_beta 90.00
_cell_angle_gamma 120.00
loop_
_atom_site_label
_atom_site_type_symbol
_atom_site_fract_x
_atom_site_fract_y
_atom_site_fract_z
Pa1 Pa 0.0000 0.0000 0.0000
Pa2 Pa 0.0000 0.0000 0.5000
Br1 Br 0.0000 0.3068 0.2500
Br2 Br 0.0000 0.6932 0.7500
Br3 Br 0.3068 0.0000 0.2500
Br4 Br 0.3068 0.3068 0.7500
Br5 Br 0.6932 0.0000 0.7500
Br6 Br 0.6932 0.6932 0.2500


[7]
# PaBr GGA-PBE optimized geometry
# * raw formation energy: -0.63 eV/atom
# * spin magnetization: 0.000 μB per formula unit
data_PaBr
_space_group_name_H-M_alt 'P 1'
_space_group_IT_number 1
_space_group_name_Hall 'P 1'
_cell_length_a 3.4851
_cell_length_b 3.6687
_cell_length_c 9.7431
_cell_angle_alpha 90.00
_cell_angle_beta 90.25
_cell_angle_gamma 90.00
loop_
_atom_site_label
_atom_site_type_symbol
_atom_site_fract_x
_atom_site_fract_y
_atom_site_fract_z
Pa1 Pa 0.1179 0.2500 0.4104
Pa2 Pa 0.8821 0.7500 0.5896
Br1 Br 0.2648 0.7500 0.1878
Br2 Br 0.7352 0.2500 0.8122


[8]
# PaPbBr2 GGA-PBE optimized geometry
# * raw formation energy: -0.76 eV/atom
# * spin magnetization: 0.000 μB per formula unit
data_PaPbBr2
_space_group_name_H-M_alt 'P 1'
_space_group_IT_number 1
_space_group_name_Hall 'P 1'
_cell_length_a 3.4962
_cell_length_b 3.4962
_cell_length_c 36.0991
_cell_angle_alpha 90.00
_cell_angle_beta 90.00
_cell_angle_gamma 120.00
loop_
_atom_site_label
_atom_site_type_symbol
_atom_site_fract_x
_atom_site_fract_y
_atom_site_fract_z
Pa1 Pa 0.0000 0.0000 0.0000
Pa2 Pa 0.3333 0.6667 0.6667
Pa3 Pa 0.6667 0.3333 0.3333
Pb1 Pb 0.0000 0.0000 0.5000
Pb2 Pb 0.3333 0.6667 0.1667
Pb3 Pb 0.6667 0.3333 0.8333
Br1 Br 0.0000 0.0000 0.3926
Br2 Br 0.0000 0.0000 0.6074
Br3 Br 0.3333 0.6667 0.0593
Br4 Br 0.3333 0.6667 0.2740
Br5 Br 0.6667 0.3333 0.7260
Br6 Br 0.6667 0.3333 0.9407